A plane-wave DFT calculation with PBE was carried out for crystalline GdHoSc2Bi2 at its relaxed geometry.

## Properties
E_tot: -0.20609 Ha/atom

a = 8.8643 Å, b = 8.8643 Å, c = 8.8643 Å
α = 151.16°, β = 151.16°, γ = 41.24°
Last column: nearest neighbours and their distance in Å.
Atoms (fractional coordinates):
Bi1 0.1311 0.1311 0.0000  4 Sc 3.10, 1 Ho 3.20, 4 Gd 3.21
Bi2 0.8689 0.8689 0.0000  4 Sc 3.09, 1 Gd 3.19, 4 Ho 3.21
Gd1 0.6764 0.6764 0.0000  5 Bi 3.19-3.21
Ho1 0.3242 0.3242 0.0000  5 Bi 3.20-3.21
Sc1 0.9997 0.4997 0.5000  4 Bi 3.09-3.10, 4 Sc 3.12
Sc2 0.4997 0.9997 0.5000  4 Bi 3.09-3.10, 4 Sc 3.12



A plane-wave DFT calculation with PBE was carried out for crystalline Sm2GdTa2N6 at its relaxed geometry.

## Properties
E_tot: -0.34346 Ha/atom

a = 10.0311 Å, b = 10.0311 Å, c = 10.0311 Å
α = 156.90°, β = 156.90°, γ = 32.90°
Last column: nearest neighbours and their distance in Å.
Atoms (fractional coordinates):
Gd1 0.0000 0.0000 0.0000  8 N 2.56
N1 0.2995 0.2995 0.0000  1 Ta 1.95
N2 0.7005 0.7005 0.0000  1 Ta 1.95
N3 0.5825 0.0825 0.5000  2 Ta 2.03
N4 0.9175 0.4175 0.5000  2 Ta 2.03
N5 0.0825 0.5825 0.5000  2 Ta 2.03
N6 0.4175 0.9175 0.5000  2 Ta 2.03
Sm1 0.1791 0.1791 0.0000  1 N 2.32
Sm2 0.8209 0.8209 0.0000  1 N 2.32
Ta1 0.4007 0.4007 0.0000  5 N 1.95-2.03
Ta2 0.5993 0.5993 0.0000  5 N 1.95-2.03



A plane-wave DFT calculation with PBE was carried out for crystalline GdDy2N3 at its relaxed geometry.

## Properties
E_tot: -0.29936 Ha/atom

a = 3.4755 Å, b = 3.4755 Å, c = 8.5075 Å
α = 90.00°, β = 90.00°, γ = 120.00°
Last column: nearest neighbours and their distance in Å.
Atoms (fractional coordinates):
Dy1 0.6667 0.3333 0.1654  6 N 2.45
Dy2 0.3333 0.6667 0.8346  6 N 2.45
Gd1 0.0000 0.0000 0.5000  6 N 2.47
N1 0.0000 0.0000 0.0000  6 Dy 2.45
N2 0.3333 0.6667 0.3306  3 Dy 2.45, 3 Gd 2.47
N3 0.6667 0.3333 0.6694  3 Dy 2.45, 3 Gd 2.47



A plane-wave DFT calculation with PBE was carried out for crystalline ZnS at its relaxed geometry.

## Properties
E_tot: -0.12893 Ha/atom

a = 3.8358 Å, b = 3.8359 Å, c = 87.7701 Å
α = 88.75°, β = 91.25°, γ = 120.00°
Last column: nearest neighbours and their distance in Å.
Atoms (fractional coordinates):
S1 0.3363 0.6637 0.0089  4 Zn 2.35
S2 0.6816 0.3185 0.0446  4 Zn 2.35
S3 0.0268 0.9732 0.0803  4 Zn 2.35
S4 0.7054 0.2946 0.1161  4 Zn 2.35
S5 0.3840 0.6161 0.1518  4 Zn 2.35
S6 0.0625 0.9375 0.1875  4 Zn 2.35
S7 0.7411 0.2589 0.2232  4 Zn 2.35
S8 0.4197 0.5804 0.2589  4 Zn 2.35
S9 0.0982 0.9017 0.2946  4 Zn 2.35
S10 0.7768 0.2232 0.3304  4 Zn 2.35
S11 0.4554 0.5447 0.3661  4 Zn 2.35
S12 0.1339 0.8660 0.4018  4 Zn 2.35
S13 0.8125 0.1875 0.4375  4 Zn 2.35
S14 0.4911 0.5090 0.4732  4 Zn 2.35
S15 0.1696 0.8303 0.5089  4 Zn 2.35
S16 0.8482 0.1518 0.5446  4 Zn 2.35
S17 0.5268 0.4733 0.5804  4 Zn 2.35
S18 0.2053 0.7946 0.6161  4 Zn 2.35
S19 0.8839 0.1161 0.6518  4 Zn 2.35
S20 0.5625 0.4376 0.6875  4 Zn 2.35
S21 0.2411 0.7589 0.7232  4 Zn 2.35
S22 0.9196 0.0803 0.7589  4 Zn 2.35
S23 0.5982 0.4018 0.7947  4 Zn 2.35
S24 0.2768 0.7232 0.8304  4 Zn 2.35
S25 0.9554 0.0446 0.8661  4 Zn 2.35
S26 0.6340 0.3661 0.9018  4 Zn 2.35
S27 0.3125 0.6875 0.9375  4 Zn 2.35
S28 0.9911 0.0089 0.9732  4 Zn 2.35
Zn1 0.0000 0.0000 0.0000  4 S 2.35
Zn2 0.3453 0.6548 0.0357  4 S 2.35
Zn3 0.6905 0.3095 0.0714  4 S 2.35
Zn4 0.0357 0.9642 0.1071  4 S 2.35
Zn5 0.7143 0.2857 0.1429  4 S 2.35
Zn6 0.3929 0.6072 0.1786  4 S 2.35
Zn7 0.0714 0.9285 0.2143  4 S 2.35
Zn8 0.7500 0.2500 0.2500  4 S 2.35
Zn9 0.4286 0.5715 0.2857  4 S 2.35
Zn10 0.1071 0.8928 0.3214  4 S 2.35
Zn11 0.7857 0.2143 0.3571  4 S 2.35
Zn12 0.4643 0.5358 0.3929  4 S 2.35
Zn13 0.1428 0.8571 0.4286  4 S 2.35
Zn14 0.8214 0.1786 0.4643  4 S 2.35
Zn15 0.5000 0.5000 0.5000  4 S 2.35
Zn16 0.1785 0.8214 0.5357  4 S 2.35
Zn17 0.8571 0.1429 0.5714  4 S 2.35
Zn18 0.5357 0.4643 0.6071  4 S 2.35
Zn19 0.2143 0.7857 0.6428  4 S 2.35
Zn20 0.8929 0.1072 0.6786  4 S 2.35
Zn21 0.5715 0.4286 0.7143  4 S 2.35
Zn22 0.2500 0.7499 0.7500  4 S 2.35
Zn23 0.9286 0.0714 0.7857  4 S 2.35
Zn24 0.6072 0.3929 0.8214  4 S 2.35
Zn25 0.2857 0.7142 0.8571  4 S 2.35
Zn26 0.9643 0.0357 0.8929  4 S 2.35
Zn27 0.6429 0.3572 0.9286  4 S 2.35
Zn28 0.3214 0.6785 0.9643  4 S 2.35



A plane-wave DFT calculation with PBE was carried out for crystalline BaErZn at its relaxed geometry.

## Properties
polymorph energy (0 for the lowest one): 0.00 eV per formula unit
E_tot: -0.08682 Ha/atom

a = 5.3308 Å, b = 5.3308 Å, c = 5.3308 Å
α = 60.00°, β = 60.00°, γ = 60.00°
Last column: nearest neighbours and their distance in Å.
Atoms (fractional coordinates):
Ba1 0.2500 0.2500 0.2500  4 Zn 3.26
Er1 0.7500 0.7500 0.7500  4 Zn 3.26
Zn1 0.0000 0.0000 0.0000  4 Ba 3.26, 4 Er 3.26



A plane-wave DFT calculation with PBE was carried out for crystalline Li4GeBiIr2 at its relaxed geometry.

## Properties
E_tot: -0.16834 Ha/atom

a = 4.2774 Å, b = 4.2774 Å, c = 6.5422 Å
α = 90.00°, β = 90.00°, γ = 90.00°
Last column: nearest neighbours and their distance in Å.
Atoms (fractional coordinates):
Bi1 0.5000 0.5000 0.0000  4 Ir 2.82, 8 Li 2.83-3.02
Ge1 0.0000 0.0000 0.5000  4 Li 2.57, 4 Ir 2.57
Ir1 0.0000 0.5000 0.2808  5 Li 2.57-2.85, 2 Ge 2.57, 2 Bi 2.82
Ir2 0.5000 0.0000 0.7192  2 Ge 2.57, 5 Li 2.57-2.85, 2 Bi 2.82
Li1 0.0000 0.0000 0.0000  4 Ir 2.82, 4 Li 2.83, 4 Bi 3.02
Li2 0.5000 0.0000 0.2834  4 Li 2.57-2.83, 2 Ge 2.57, 2 Bi 2.83, 1 Ir 2.85
Li3 0.5000 0.5000 0.5000  4 Li 2.57, 4 Ir 2.57
Li4 0.0000 0.5000 0.7166  4 Li 2.57-2.83, 2 Ge 2.57, 2 Bi 2.83, 1 Ir 2.85



A plane-wave DFT calculation with PBE was carried out for crystalline GaAgHg2 at its relaxed geometry.

## Properties
E_tot: -0.05481 Ha/atom

a = 4.9843 Å, b = 4.9843 Å, c = 4.9843 Å
α = 60.00°, β = 60.00°, γ = 60.00°
Last column: nearest neighbours and their distance in Å.
Atoms (fractional coordinates):
Ag1 0.2500 0.2500 0.2500  4 Hg 3.05, 4 Ga 3.05
Ga1 0.5000 0.5000 0.5000  4 Hg 3.05, 4 Ag 3.05
Hg1 0.0000 0.0000 0.0000  4 Hg 3.05, 4 Ag 3.05
Hg2 0.7500 0.7500 0.7500  4 Hg 3.05, 4 Ga 3.05



A plane-wave DFT calculation with PBE was carried out for crystalline La2CuTe3 at its relaxed geometry.

## Properties
E_tot: -0.18502 Ha/atom

a = 9.0838 Å, b = 4.4169 Å, c = 17.8025 Å
α = 90.00°, β = 90.00°, γ = 90.00°
Last column: nearest neighbours and their distance in Å.
Atoms (fractional coordinates):
Cu1 0.1228 0.2500 0.1347  4 Te 2.59-2.65
Cu2 0.6228 0.2500 0.3653  4 Te 2.59-2.65
Cu3 0.3772 0.7500 0.6347  4 Te 2.59-2.65
Cu4 0.8772 0.7500 0.8653  4 Te 2.59-2.65
La1 0.7527 0.2500 0.0375  7 Te 3.23-3.39
La2 0.4245 0.7500 0.2116  7 Te 3.28-3.40
La3 0.9245 0.7500 0.2884  7 Te 3.28-3.40
La4 0.2527 0.2500 0.4625  7 Te 3.23-3.39
La5 0.7473 0.7500 0.5375  7 Te 3.23-3.39
La6 0.0755 0.2500 0.7116  7 Te 3.28-3.40
La7 0.5755 0.2500 0.7884  7 Te 3.28-3.40
La8 0.2473 0.7500 0.9625  7 Te 3.23-3.39
Te1 0.3885 0.2500 0.0737  1 Cu 2.65
Te2 0.9898 0.7500 0.1005  2 Cu 2.59
Te3 0.6909 0.2500 0.2206  1 Cu 2.65
Te4 0.1909 0.2500 0.2794  1 Cu 2.65
Te5 0.4898 0.7500 0.3995  2 Cu 2.59
Te6 0.8885 0.2500 0.4263  1 Cu 2.65
Te7 0.1115 0.7500 0.5737  1 Cu 2.65
Te8 0.5102 0.2500 0.6005  2 Cu 2.59
Te9 0.8091 0.7500 0.7206  1 Cu 2.65
Te10 0.3091 0.7500 0.7794  1 Cu 2.65
Te11 0.0102 0.2500 0.8995  2 Cu 2.59
Te12 0.6115 0.7500 0.9263  1 Cu 2.65



A plane-wave DFT calculation with PBE was carried out for crystalline TbSm3Ir8 at its relaxed geometry.

## Properties
E_tot: -0.30245 Ha/atom

a = 9.3297 Å, b = 9.3297 Å, c = 9.3297 Å
α = 33.57°, β = 33.57°, γ = 33.57°
Last column: nearest neighbours and their distance in Å.
Atoms (fractional coordinates):
Ir1 0.5616 0.0623 0.0623  6 Ir 2.69-2.70
Ir2 0.0623 0.5616 0.0623  6 Ir 2.69-2.70
Ir3 0.5628 0.5628 0.0632  6 Ir 2.68-2.70
Ir4 0.3125 0.3125 0.3125  6 Ir 2.70
Ir5 0.0623 0.0623 0.5617  6 Ir 2.69-2.70
Ir6 0.5628 0.0632 0.5628  6 Ir 2.68-2.70
Ir7 0.0632 0.5628 0.5628  6 Ir 2.68-2.70
Ir8 0.8124 0.8124 0.8124  6 Ir 2.68-2.69
Sm1 0.0002 0.0002 0.0002  12 Ir 3.16-3.17, 1 Tb 3.29, 3 Sm 3.30
Sm2 0.4999 0.4999 0.4999  12 Ir 3.15-3.16, 3 Tb 3.30, 1 Sm 3.30
Sm3 0.6249 0.6249 0.6249  12 Ir 3.16-3.17, 4 Sm 3.30
Tb1 0.1251 0.1251 0.1251  12 Ir 3.15-3.16, 4 Sm 3.29-3.30



A plane-wave DFT calculation with PBE was carried out for crystalline BaCoTe at its relaxed geometry.

## Properties
polymorph energy (0 for the lowest one): 1.51 eV per formula unit
E_tot: -0.13780 Ha/atom

a = 5.4758 Å, b = 5.4758 Å, c = 5.4758 Å
α = 60.00°, β = 60.00°, γ = 60.00°
Last column: nearest neighbours and their distance in Å.
Atoms (fractional coordinates):
Ba1 0.0000 0.0000 0.0000  4 Co 3.35, 4 Te 3.35
Co1 0.2500 0.2500 0.2500  4 Ba 3.35
Te1 0.7500 0.7500 0.7500  4 Ba 3.35



A plane-wave DFT calculation with PBE was carried out for crystalline Sc2AgHg at its relaxed geometry.

## Properties
E_tot: -0.15840 Ha/atom

a = 6.7961 Å, b = 4.9088 Å, c = 9.9968 Å
α = 90.00°, β = 90.00°, γ = 90.00°
Last column: nearest neighbours and their distance in Å.
Atoms (fractional coordinates):
Ag1 0.7500 0.2500 0.1057  8 Sc 2.95-3.10, 2 Hg 3.25
Ag2 0.2500 0.7500 0.3943  8 Sc 2.95-3.10, 2 Hg 3.25
Ag3 0.7500 0.2500 0.6057  8 Sc 2.95-3.10, 2 Hg 3.25
Ag4 0.2500 0.7500 0.8943  8 Sc 2.95-3.10, 2 Hg 3.25
Hg1 0.2500 0.2500 0.1075  8 Sc 2.96-3.08, 2 Ag 3.25
Hg2 0.7500 0.7500 0.3925  8 Sc 2.96-3.08, 2 Ag 3.25
Hg3 0.2500 0.2500 0.6075  8 Sc 2.96-3.08, 2 Ag 3.25
Hg4 0.7500 0.7500 0.8925  8 Sc 2.96-3.08, 2 Ag 3.25
Sc1 0.5004 0.7500 0.1353  4 Ag 2.95-3.10, 4 Hg 2.96-3.08
Sc2 0.9996 0.7500 0.1353  4 Ag 2.95-3.10, 4 Hg 2.96-3.08
Sc3 0.0004 0.2500 0.3647  4 Ag 2.95-3.10, 4 Hg 2.96-3.08
Sc4 0.4996 0.2500 0.3647  4 Ag 2.95-3.10, 4 Hg 2.96-3.08
Sc5 0.5004 0.7500 0.6353  4 Ag 2.95-3.10, 4 Hg 2.96-3.08
Sc6 0.9996 0.7500 0.6353  4 Ag 2.95-3.10, 4 Hg 2.96-3.08
Sc7 0.0004 0.2500 0.8647  4 Ag 2.95-3.10, 4 Hg 2.96-3.08
Sc8 0.4996 0.2500 0.8647  4 Ag 2.95-3.10, 4 Hg 2.96-3.08



A plane-wave DFT calculation with PBE was carried out for crystalline BaNb2 at its relaxed geometry.

## Properties
polymorph energy (0 for the lowest one): 10.72 eV per formula unit
E_tot: -0.10734 Ha/atom

a = 8.6033 Å, b = 8.6033 Å, c = 8.6033 Å
α = 60.00°, β = 60.00°, γ = 60.00°
Last column: nearest neighbours and their distance in Å.
Atoms (fractional coordinates):
Ba1 0.2500 0.2500 0.2500  4 Nb 2.63
Ba2 0.5000 0.5000 0.5000  4 Nb 2.63
Nb1 0.8750 0.3750 0.3750  2 Ba 2.63
Nb2 0.3750 0.8750 0.3750  2 Ba 2.63
Nb3 0.3750 0.3750 0.3750  2 Ba 2.63
Nb4 0.3750 0.3750 0.8750  2 Ba 2.63



Q: Which value of E_tot does entry 12 give?
A: -0.10734 Ha/atom



Q: Among the records above, which one has the highest E_tot?
A: GaAgHg2